4
Lattice="1.4074 -2.3601 0.0000 1.4074 2.3601 0.0000 0.0000 0.0000 8.2159" Properties=species:S:1:pos:R:3 comment="MnPOs2 | Alexandria | PBE | relaxed" formation_energy_kj_per_mol_atoms=39 pbc="T T T"
Mn 0.0000 0.0000 0.0000
P 1.4074 0.0000 1.8128
Os 0.0000 0.0000 3.6905
Os 1.4074 0.0000 6.0955